The following is a DFT calculation (PBE) of crystalline La3Ge5Ir6 at its relaxed geometry.

abc: 4.1730 10.2127 12.7520
angles: 90.00 90.00 90.00
Fractional positions:
Ge 0.0000 0.8532 0.6739
Ge 0.5000 0.1123 0.5000
Ge 0.0000 0.5103 0.8767
Ge 0.5000 0.1468 0.1739
Ge 0.5000 0.1468 0.8261
Ge 0.5000 0.4897 0.6233
Ge 0.0000 0.8877 0.0000
Ge 0.5000 0.4897 0.3767
Ge 0.0000 0.8532 0.3261
Ge 0.0000 0.5103 0.1233
Ir 0.5000 0.9898 0.6699
Ir 0.5000 0.9898 0.3301
Ir 0.5000 0.0208 0.0000
Ir 0.0000 0.6062 0.7004
Ir 0.5000 0.3938 0.2004
Ir 0.0000 0.0102 0.1699
Ir 0.0000 0.6062 0.2996
Ir 0.0000 0.5009 0.5000
Ir 0.0000 0.9792 0.5000
Ir 0.5000 0.3938 0.7996
Ir 0.0000 0.0102 0.8301
Ir 0.5000 0.4991 0.0000
La 0.0000 0.2543 0.0000
La 0.5000 0.7435 0.1578
La 0.5000 0.7435 0.8422
La 0.0000 0.2565 0.3422
La 0.0000 0.2565 0.6578
La 0.5000 0.7457 0.5000

Calculated values
The value obtained for the final energy is -203.23 eV per cell. As for the crystal system: orthorhombic. The value obtained for the calculated formation energy is -0.7556 eV per atom.